1.
The following is a PBE-GGA calculation of a geometry-optimized AcIn4Pd2 structure, from the Alexandria database.

Space-group type: P4_2/mnm
DFT formation energy (eV per atom): -0.499
E_tot (eV per atom): -4.135
Distance to the lowest polymorph of the same formula (meV/atom): 58

Cell: 4.2471 8.8805 8.8805 Å, 90.00 90.00 90.00°
Fractional positions:
Ac (0.5000, 0.0000, 0.0000)
Ac (0.0000, 0.5000, 0.5000)
In (0.0000, 0.0840, 0.3288)
In (0.0000, 0.9160, 0.6712)
In (0.5000, 0.1712, 0.5840)
In (0.5000, 0.8288, 0.4160)
In (0.5000, 0.4160, 0.8288)
In (0.5000, 0.5840, 0.1712)
In (0.0000, 0.3288, 0.0840)
In (0.0000, 0.6712, 0.9160)
Pd (0.0000, 0.2016, 0.7984)
Pd (0.0000, 0.7984, 0.2016)
Pd (0.5000, 0.7016, 0.7016)
Pd (0.5000, 0.2984, 0.2984)

2.
The following is a PBE-GGA calculation of a geometry-optimized CdCoTe2 structure, from the Alexandria database.

Space-group type: C2/m
E_tot (eV per atom): -3.666
Uncorrected formation energy (eV per formula unit): -0.362

Cell: 3.8196 3.8196 7.8354 Å, 75.15 75.15 60.30°
Fractional positions:
Cd (0.7500, 0.7500, 0.7500)
Co (0.2500, 0.2500, 0.2500)
Te (0.9787, 0.9787, 0.0712)
Te (0.5213, 0.5213, 0.4288)

3.
The following is a PBE-GGA calculation of a geometry-optimized Ce3Er2TmSe6 structure, from the Alexandria database.

Space-group type: C2/m
E_tot (eV per atom): -6.129
Uncorrected formation energy (eV per formula unit): -21.238

Cell: 7.0554 7.0554 7.2647 Å, 99.32 99.32 120.05°
Site moments in Bohr magnetons follow the coordinates.
Fractional positions:
Ce (0.1673, 0.8327, 0.5000)  0.85
Ce (0.8327, 0.1673, 0.5000)  0.85
Ce (0.5000, 0.5000, 0.5000)  0.85
Er (0.3334, 0.6666, 0.0000)  -0.02
Er (0.6666, 0.3334, 0.0000)  -0.02
Tm (0.0000, 0.0000, 0.0000)  -0.01
Se (0.9223, 0.5901, 0.7666)  -0.01
Se (0.7459, 0.7459, 0.2341)  -0.01
Se (0.0777, 0.4099, 0.2334)  -0.01
Se (0.5901, 0.9223, 0.7666)  -0.01
Se (0.2541, 0.2541, 0.7659)  -0.01
Se (0.4099, 0.0777, 0.2334)  -0.01